AlIn2Os | PBE | optimized geometry

```
4
Lattice="-0.086 2.991 -1.477 -0.059 -1.772 -3.584 -5.515 -0.092 0.136" Properties=species:S:1:pos:R:3 pbc="T T T"
Os -1.451 0.587 -2.497
Al -4.209 0.540 -2.429
In -0.035 -0.001 0.001
In -2.723 -0.046 0.067
```

## Properties
DFT total energy = -4.79 eV/atom
DOS(E_F) = 1.55 states/eV/cell
calculated volume = 18.40 Å³/atom
ΔH_f (0 K) = 0.32 eV per atom



Sc4AgPd | PBE | optimized geometry

```
24
Lattice="7.748 0.000 4.473 2.583 7.305 4.473 0.000 0.000 8.946" Properties=species:S:1:pos:R:3 pbc="T T T"
Sc 3.980 2.814 6.893
Sc 7.536 2.814 8.946
Sc 5.165 6.167 8.946
Sc 3.980 2.814 10.999
Sc 5.842 4.131 13.419
Sc 9.653 6.826 13.419
Sc 6.795 6.826 11.769
Sc 8.700 4.131 15.070
Sc 8.700 4.131 11.769
Sc 6.795 6.826 15.070
Sc 1.903 1.346 8.946
Sc 8.427 5.959 8.946
Sc 3.534 5.959 6.121
Sc 6.796 1.346 11.771
Sc 6.796 1.346 6.121
Sc 3.534 5.959 11.771
Ag 1.704 1.205 2.951
Ag 4.340 1.205 4.473
Ag 2.583 3.690 4.473
Ag 1.704 1.205 5.995
Pd 6.181 4.370 10.705
Pd 3.134 4.370 8.946
Pd 5.165 1.498 8.946
Pd 6.181 4.370 7.187
```

## Properties
DFT total energy = -6.00 eV/atom
energy relative to the lowest polymorph listed for this composition = 0.000 eV per atom
DOS(E_F) = 26.91 states/eV/cell
calculated volume = 21.10 Å³/atom
ΔH_f (0 K) = -0.43 eV per atom



Ta3TcPt | PBE | optimized geometry

```
5
Lattice="4.818 0.000 0.000 0.000 4.818 0.000 0.000 0.000 4.818" Properties=species:S:1:pos:R:3 pbc="T T T"
Tc 2.409 2.409 2.409
Pt 0.000 0.000 0.000
Ta 0.000 2.409 0.000
Ta 0.000 0.000 2.409
Ta 2.409 0.000 0.000
```

## Properties
DFT total energy = -8.88 eV/atom
energy relative to the lowest polymorph listed for this composition = 0.392 eV per atom
DOS(E_F) = 5.68 states/eV/cell
calculated volume = 22.36 Å³/atom
ΔH_f (0 K) = 1.52 eV per atom



HfTeCS2 | PBE | optimized geometry

```
5
Lattice="-0.693 -4.700 0.563 4.929 -0.325 3.352 -2.608 0.854 3.919" Properties=species:S:1:pos:R:3 pbc="T T T"
S -1.304 0.427 1.959
S -0.346 -2.350 0.282
Te 2.465 -0.163 1.676
Hf 0.000 0.000 0.000
C 0.814 -2.086 3.917
```

## Properties
DFT total energy = -5.18 eV/atom
E_form (uncorrected) = 0.936 eV per atom
DOS(E_F) = 4.20 states/eV/cell
calculated volume = 27.32 Å³/atom



LiTlFe2 | PBE | optimized geometry

```
4
Lattice="-3.115 -0.490 0.191 0.249 -2.364 -2.006 1.180 -6.385 2.861" Properties=species:S:1:pos:R:3 pbc="T T T"
Fe 0.303 -2.600 -1.719
Fe -1.230 -2.304 0.154
Li 0.687 -4.256 0.283
Tl -0.483 -6.817 0.751
```

## Properties
DFT total energy = -5.06 eV/atom
DOS(E_F) = 2.36 states/eV/cell
calculated volume = 15.68 Å³/atom
ΔH_f (0 K) = 0.24 eV per atom



AlRu | PBE | optimized geometry

```
6
Lattice="-0.595 0.966 4.790 1.122 -1.390 4.586 5.055 3.531 1.793" Properties=species:S:1:pos:R:3 pbc="T T T"
Al 0.618 -0.337 9.136
Al 3.731 2.072 7.520
Al 1.653 0.661 6.309
Ru 1.935 1.089 3.739
Ru 3.585 1.739 10.143
Ru 4.821 3.155 4.173
```

## Properties
DFT total energy = -6.98 eV/atom
DOS(E_F) = 4.73 states/eV/cell
calculated volume = 14.03 Å³/atom
ΔH_f (0 K) = -0.47 eV per atom



LiLa2CrN | PBE | optimized geometry

```
5
Lattice="5.342 0.000 0.000 0.000 5.342 0.000 0.000 0.000 3.788" Properties=species:S:1:pos:R:3 pbc="T T T"
Cr 0.000 0.000 1.894
N 0.000 0.000 0.000
Li 2.671 2.671 1.894
La 0.000 2.671 0.000
La 2.671 0.000 0.000
```

## Properties
DFT total energy = -6.36 eV/atom
E_form (uncorrected) = -0.421 eV per atom
DOS(E_F) = 4.33 states/eV/cell
calculated volume = 21.62 Å³/atom



LiTbEr2Hg4 | PBE | optimized geometry

```
8
Lattice="5.114 0.000 0.000 2.557 4.429 0.000 2.557 1.476 8.526" Properties=species:S:1:pos:R:3 pbc="T T T"
Li 5.114 2.953 4.263
Tb 0.000 0.000 0.000
Er 7.671 4.429 6.267
Er 2.557 1.476 2.260
Hg 5.114 2.953 7.346
Hg 7.671 4.429 3.220
Hg 2.557 1.476 5.306
Hg 5.114 2.953 1.181
```

## Properties
DFT total energy = -2.56 eV/atom
DOS(E_F) = 6.85 states/eV/cell
calculated volume = 24.14 Å³/atom
ΔH_f (0 K) = -0.45 eV per atom